# 1
HoNiAu: optimized geometry, GGA-PBE.

a b c (Å): 4.4251 4.4251 4.4251
angles (deg): 60.00 60.00 60.00
Atoms (fractional coordinates):
Au1 0.2500 0.2500 0.2500
Ho1 0.7500 0.7500 0.7500
Ni1 0.0000 0.0000 0.0000

* final energy: -0.364 Ry per atom
* formation energy: -0.4873 eV per atom
* total magnetic moment: 0.00 μB per cell

***

# 2
HoNiAu: optimized geometry, GGA-PBE.

a b c (Å): 4.5920 4.5920 4.5920
angles (deg): 60.00 60.00 60.00
Atoms (fractional coordinates):
Au1 0.2500 0.2500 0.2500
Ho1 0.0000 0.0000 0.0000
Ni1 0.7500 0.7500 0.7500

* final energy: -0.333 Ry per atom
* formation energy: -0.0662 eV per atom
* total magnetic moment: 0.00 μB per cell

***

# 3
HoSi2NiAu: optimized geometry, GGA-PBE.

a b c (Å): 5.7951 5.7951 5.7951
angles (deg): 138.88 138.88 59.55
Atoms (fractional coordinates):
Au1 0.2500 0.7500 0.5000
Ho1 0.5000 0.5000 0.0000
Ni1 0.7500 0.2500 0.5000
Si1 0.1150 0.1150 0.0000
Si2 0.8850 0.8850 0.0000

* final energy: -0.406 Ry per atom
* total magnetic moment: 0.00 μB per cell

***

# 4
Tb2HoZn3NiAu2: optimized geometry, GGA-PBE.

a b c (Å): 3.9457 7.2572 7.2572
angles (deg): 119.90 90.00 90.00
Atoms (fractional coordinates):
Au1 0.5000 0.6632 0.3346
Au2 0.5000 0.3346 0.6632
Ho1 0.0000 0.3930 0.3930
Ni1 0.0000 0.0026 0.0026
Tb1 0.0000 0.6040 0.0004
Tb2 0.0000 0.0004 0.6040
Zn1 0.5000 0.2296 0.0010
Zn2 0.5000 0.0010 0.2296
Zn3 0.5000 0.7717 0.7717

* final energy: -0.288 Ry per atom
* formation energy: -0.6145 eV per atom
* total magnetic moment: 0.00 μB per cell

***

# 5
TbHo2Zn3NiAu2: optimized geometry, GGA-PBE.

a b c (Å): 3.9237 7.2651 7.2651
angles (deg): 120.17 90.00 90.00
Atoms (fractional coordinates):
Au1 0.5000 0.6697 0.3326
Au2 0.5000 0.3326 0.6697
Ho1 0.0000 0.6054 0.0000
Ho2 0.0000 0.0000 0.6054
Ni1 0.0000 0.9982 0.9982
Tb1 0.0000 0.3960 0.3960
Zn1 0.5000 0.9987 0.2295
Zn2 0.5000 0.7702 0.7702
Zn3 0.5000 0.2295 0.9987

* final energy: -0.288 Ry per atom
* formation energy: -0.6181 eV per atom
* total magnetic moment: 0.00 μB per cell

***

# 6
Ho2TlNiAu: optimized geometry, GGA-PBE.

a b c (Å): 3.6673 7.7027 7.7027
angles (deg): 30.83 90.00 90.00
Atoms (fractional coordinates):
Au1 0.0000 0.7996 0.7996
Ho1 0.5000 0.3688 0.3688
Ho2 0.5000 0.6342 0.6342
Ni1 0.0000 0.1910 0.1910
Tl1 0.0000 0.0063 0.0063

* final energy: -0.341 Ry per atom
* total magnetic moment: 0.00 μB per cell

***

# 7
Ho3Zn3NiAu2: optimized geometry, GGA-PBE.

a b c (Å): 7.3827 7.3827 3.8066
angles (deg): 90.00 90.00 120.00
Atoms (fractional coordinates):
Au1 0.6667 0.3333 0.5000
Au2 0.3333 0.6667 0.5000
Ho1 0.6118 0.0000 0.0000
Ho2 0.3882 0.3882 0.0000
Ho3 0.0000 0.6118 0.0000
Ni1 0.0000 0.0000 0.0000
Zn1 0.2394 0.0000 0.5000
Zn2 0.0000 0.2394 0.5000
Zn3 0.7606 0.7606 0.5000

* final energy: -0.287 Ry per atom
* formation energy: -0.6174 eV per atom
* total magnetic moment: 0.01 μB per cell

***

# 8
Ho3Zn3Ni2Au: optimized geometry, GGA-PBE.

a b c (Å): 7.2035 7.2035 3.7469
angles (deg): 90.00 90.00 120.00
Atoms (fractional coordinates):
Au1 0.0000 0.0000 0.0000
Ho1 0.5888 0.0000 0.0000
Ho2 0.4112 0.4112 0.0000
Ho3 0.0000 0.5888 0.0000
Ni1 0.6667 0.3333 0.5000
Ni2 0.3333 0.6667 0.5000
Zn1 0.2695 0.0000 0.5000
Zn2 0.0000 0.2695 0.5000
Zn3 0.7305 0.7305 0.5000

* final energy: -0.300 Ry per atom
* formation energy: -0.5276 eV per atom
* total magnetic moment: 0.00 μB per cell

***

- What is the total magnetic moment in the second record?
  0.00 μB per cell

***

Repeat the eighth record exactly.
Ho3Zn3Ni2Au: optimized geometry, GGA-PBE.

a b c (Å): 7.2035 7.2035 3.7469
angles (deg): 90.00 90.00 120.00
Atoms (fractional coordinates):
Au1 0.0000 0.0000 0.0000
Ho1 0.5888 0.0000 0.0000
Ho2 0.4112 0.4112 0.0000
Ho3 0.0000 0.5888 0.0000
Ni1 0.6667 0.3333 0.5000
Ni2 0.3333 0.6667 0.5000
Zn1 0.2695 0.0000 0.5000
Zn2 0.0000 0.2695 0.5000
Zn3 0.7305 0.7305 0.5000

* final energy: -0.300 Ry per atom
* formation energy: -0.5276 eV per atom
* total magnetic moment: 0.00 μB per cell

***

- Among the records above, which one has the highest final energy?
  Ho3Zn3NiAu2